DFT (PBE) results for a relaxed La4Ni3Sb8 crystal.

Unit cell a=4.441 b=4.441 c=19.885 alpha=90.00 beta=90.00 gamma=90.00
Fractional coordinates of all 15 atoms:
La  0.500  0.000  0.378
La  0.500  0.000  0.883
La  0.000  0.500  0.117
La  0.000  0.500  0.622
Ni  0.500  0.500  0.500
Ni  0.000  0.000  0.000
Ni  0.000  0.000  0.500
Sb  0.500  0.000  0.060
Sb  0.500  0.000  0.564
Sb  0.000  0.500  0.436
Sb  0.000  0.500  0.940
Sb  0.500  0.500  0.248
Sb  0.500  0.500  0.752
Sb  0.000  0.000  0.248
Sb  0.000  0.000  0.752

Calculated values
E_form (uncorrected) (eV per atom): -0.7979
Symmetry: P-4m2

---

DFT (PBE) results for a relaxed Rb2Tl6RhAu crystal.

Unit cell a=7.811 b=7.812 c=8.145 alpha=58.49 beta=58.50 gamma=88.55
Fractional coordinates of all 10 atoms:
Rb  0.301  0.699  0.500
Rb  0.699  0.301  0.500
Tl  0.255  0.745  0.000
Tl  0.792  0.792  0.907
Tl  0.219  0.219  0.491
Tl  0.745  0.255  0.000
Tl  0.208  0.208  0.093
Tl  0.781  0.781  0.509
Rh  0.500  0.500  0.000
Au  0.000  0.000  0.000

Calculated values
DFT total energy (eV/cell): -26.76
Symmetry: C2/m

---

DFT (PBE) results for a relaxed Tb2SmOs crystal.

Unit cell a=3.994 b=6.371 c=9.112 alpha=90.00 beta=90.00 gamma=108.26
Fractional coordinates of all 8 atoms:
Tb  0.146  0.292  0.432
Tb  0.854  0.708  0.568
Tb  0.854  0.708  0.932
Tb  0.146  0.292  0.068
Sm  0.424  0.849  0.250
Sm  0.576  0.151  0.750
Os  0.756  0.513  0.250
Os  0.244  0.487  0.750

Calculated values
Energy above the most stable polymorph in this dataset (eV per atom): 0.018
Symmetry: Cmcm

---

DFT (PBE) results for a relaxed Tb3Dy5Ho2 crystal.

Unit cell a=9.463 b=9.426 c=11.049 alpha=125.82 beta=125.89 gamma=68.26
Fractional coordinates of all 20 atoms:
Tb  0.232  0.982  0.963
Tb  0.768  0.018  0.037
Tb  0.734  0.469  0.249
Tb  0.266  0.531  0.751
Tb  0.015  0.780  0.249
Tb  0.985  0.220  0.751
Dy  0.274  0.524  0.047
Dy  0.726  0.476  0.953
Dy  0.024  0.774  0.548
Dy  0.529  0.279  0.558
Dy  0.976  0.226  0.452
Dy  0.471  0.721  0.442
Dy  0.851  0.603  0.737
Dy  0.149  0.397  0.263
Dy  0.386  0.135  0.737
Dy  0.614  0.865  0.263
Ho  0.777  0.010  0.740
Ho  0.223  0.990  0.260
Ho  0.463  0.730  0.740
Ho  0.537  0.270  0.260

Calculated values
Energy above the most stable polymorph in this dataset (eV per atom): 0.000
Symmetry: C2/c

---

DFT (PBE) results for a relaxed SbTeCl2 crystal.

Unit cell a=3.465 b=3.465 c=10.107 alpha=90.00 beta=90.00 gamma=114.48
Fractional coordinates of all 4 atoms:
Sb  0.000  0.000  0.499
Te  0.500  0.500  0.746
Cl  0.000  0.000  0.957
Cl  0.500  0.500  0.299

Calculated values
E_form (uncorrected) (eV per atom): -0.0403
Energy above the most stable polymorph in this dataset (eV per atom): 0.489
Symmetry: Cmm2

---

DFT (PBE) results for a relaxed Bi2Rh3S2 crystal.

Unit cell a=7.124 b=7.124 c=8.119 alpha=56.07 beta=56.07 gamma=72.32
Fractional coordinates of all 14 atoms:
Bi  0.006  0.006  0.246
Bi  0.502  0.502  0.247
Bi  0.498  0.498  0.753
Bi  0.994  0.994  0.754
Rh  0.000  0.500  0.000
Rh  0.248  0.752  0.000
Rh  0.752  0.248  0.000
Rh  0.500  0.000  0.000
Rh  0.756  0.756  0.244
Rh  0.244  0.244  0.756
S  0.996  0.453  0.308
S  0.453  0.996  0.308
S  0.004  0.547  0.692
S  0.547  0.004  0.692

Calculated values
E_form (uncorrected) (eV per atom): -0.3809
Symmetry: C2/m

---

These records have spin magnetization values of 0.00 0.00 0.00 0.00 0.00 0.00 μB/f.u., in the order they appear.